1:
Entry from OQMD via LeMat-Bulk: an optimized crystal structure of PmTaSi (PBE).

```
PmTaSi
1.0
0.000 3.424 3.424
3.424 0.000 3.424
3.424 3.424 0.000
Pm Ta Si
1 1 1
direct
0.000 0.000 0.000
0.250 0.250 0.250
0.750 0.750 0.750
```

## Properties
symmetry: F-43m (216)

=====

2:
Entry from OQMD via LeMat-Bulk: an optimized crystal structure of PmTaSi (PBE).

```
PmTaSi
1.0
0.000 3.250 3.250
3.250 0.000 3.250
3.250 3.250 0.000
Pm Ta Si
1 1 1
direct
0.000 0.000 0.000
0.500 0.500 0.500
0.250 0.250 0.250
```

## Properties
symmetry: F-43m (216)

=====

2 ends up most stable, edging out the next structure by 1145 meV per atom.

=====

1:
Entry from OQMD via LeMat-Bulk: an optimized crystal structure of ZnCdTeO (PBE).

```
ZnCdTeO
1.0
6.917 0.000 0.000
0.000 7.404 0.000
0.000 0.000 13.001
Zn Cd Te O
8 8 8 8
direct
0.202 0.001 0.172
0.202 0.499 0.672
0.298 0.501 0.172
0.298 0.999 0.672
0.702 0.001 0.328
0.702 0.499 0.828
0.798 0.501 0.328
0.798 0.999 0.828
0.003 0.723 0.999
0.003 0.777 0.499
0.497 0.223 0.999
0.497 0.277 0.499
0.503 0.723 0.501
0.503 0.777 0.001
0.997 0.223 0.501
0.997 0.277 0.001
0.204 0.002 0.869
0.204 0.498 0.369
0.296 0.502 0.869
0.296 0.998 0.369
0.704 0.002 0.631
0.704 0.498 0.131
0.796 0.502 0.631
0.796 0.998 0.131
0.249 0.249 0.612
0.249 0.251 0.112
0.251 0.749 0.612
0.251 0.751 0.112
0.749 0.249 0.888
0.749 0.251 0.388
0.751 0.749 0.888
0.751 0.751 0.388
```

## Properties
symmetry: Pbca (61)

=====

2:
Entry from OQMD via LeMat-Bulk: an optimized crystal structure of ZnCdTeO (PBE).

```
ZnCdTeO
1.0
1.484 -9.027 0.000
1.484 9.027 0.000
0.000 0.000 5.718
Zn Cd Te O
2 2 2 2
direct
0.022 0.978 0.750
0.978 0.022 0.250
0.360 0.640 0.750
0.640 0.360 0.250
0.320 0.680 0.250
0.680 0.320 0.750
0.500 0.500 0.000
0.500 0.500 0.500
```

## Properties
symmetry: Cmcm (63)

=====

1 ends up most stable, edging out the next structure by 145 meV per atom.